Model A:
## KSrAsSe2 (PBE)

Data for an optimized crystal structure of KSrAsSe2. Values from VASP.

Calculated values
- SG = No. 123

Structure (Quantum ESPRESSO input):
```
&SYSTEM
  ibrav = 0, nat = 5, ntyp = 4
/
ATOMIC_SPECIES
K 39.10 K.upf
Sr 87.62 Sr.upf
Se 78.96 Se.upf
As 74.92 As.upf
CELL_PARAMETERS angstrom
-3.8614 3.4581 -2.8357
-1.9010 -4.6604 -3.0947
-4.1008 -1.1246 4.2125
ATOMIC_POSITIONS angstrom
K -4.9316 -1.1635 -0.8590
Sr 0.0000 0.0000 0.0000
Se -0.9505 -2.3302 -1.5474
Se -1.9307 1.7291 -1.4179
As -2.0504 -0.5623 2.1063
```

---

Model B:
## KSrAsSe2 (PBE)

Data for an optimized crystal structure of KSrAsSe2. Values from VASP.

Calculated values
- SG = No. 123

Structure (Quantum ESPRESSO input):
```
&SYSTEM
  ibrav = 0, nat = 5, ntyp = 4
/
ATOMIC_SPECIES
Se 78.96 Se.upf
As 74.92 As.upf
Sr 87.62 Sr.upf
K 39.10 K.upf
CELL_PARAMETERS angstrom
-2.4867 1.2511 4.9043
-1.8360 -5.3150 0.4249
4.4600 -1.3326 2.6013
ATOMIC_POSITIONS angstrom
Se -1.2433 0.6255 2.4522
As 2.2300 -0.6663 1.3007
Sr 0.0686 -2.6983 3.9653
K 0.0000 0.0000 0.0000
Se -0.9180 -2.6575 0.2125
```

---

Structures ranked by computed energy, the most stable listed first: model A, model B.

---

Model A:
## KTcAs2Se (PBE)

Data for an optimized crystal structure of KTcAs2Se. Values from VASP.

Calculated values
- SG = No. 123

Structure (Quantum ESPRESSO input):
```
&SYSTEM
  ibrav = 0, nat = 5, ntyp = 4
/
ATOMIC_SPECIES
As 74.92 As.upf
Tc 98.00 Tc.upf
Se 78.96 Se.upf
K 39.10 K.upf
CELL_PARAMETERS angstrom
4.7700 0.0000 0.0000
0.0000 4.7700 0.0000
0.0000 0.0000 5.6140
ATOMIC_POSITIONS angstrom
As 2.3850 0.0000 0.0000
Tc 0.0000 0.0000 0.0000
Se 0.0000 0.0000 2.8070
As 0.0000 2.3850 0.0000
K 2.3850 2.3850 2.8070
```

---

Model B:
## KTcAs2Se (PBE)

Data for an optimized crystal structure of KTcAs2Se. Values from VASP.

Calculated values
- SG = No. 123

Structure (Quantum ESPRESSO input):
```
&SYSTEM
  ibrav = 0, nat = 5, ntyp = 4
/
ATOMIC_SPECIES
As 74.92 As.upf
Se 78.96 Se.upf
Tc 98.00 Tc.upf
K 39.10 K.upf
CELL_PARAMETERS angstrom
-0.5573 2.3590 4.5578
-4.5409 -2.3630 0.6677
2.4449 -4.0251 2.3822
ATOMIC_POSITIONS angstrom
As -0.2787 1.1795 2.2789
Se 1.2225 -2.0125 1.1911
Tc -1.3266 -2.0146 3.8039
As -2.2704 -1.1815 0.3339
K 0.0000 0.0000 0.0000
```

---

Structures ranked by computed energy, the most stable listed first: model A, model B.

---

Model A:
## KTiAs2Se (PBE)

Data for an optimized crystal structure of KTiAs2Se. Values from VASP.

Calculated values
- SG = No. 123

Structure (Quantum ESPRESSO input):
```
&SYSTEM
  ibrav = 0, nat = 5, ntyp = 4
/
ATOMIC_SPECIES
K 39.10 K.upf
As 74.92 As.upf
Ti 47.87 Ti.upf
Se 78.96 Se.upf
CELL_PARAMETERS angstrom
5.2039 0.0000 0.0000
0.0000 5.2039 0.0000
0.0000 0.0000 5.3724
ATOMIC_POSITIONS angstrom
K 0.0000 0.0000 0.0000
As 2.6020 0.0000 0.0000
As 0.0000 2.6020 0.0000
Ti 2.6020 2.6020 2.6862
Se 0.0000 0.0000 2.6862
```

---

Model B:
## KTiAs2Se (PBE)

Data for an optimized crystal structure of KTiAs2Se. Values from VASP.

Calculated values
- SG = No. 123

Structure (Quantum ESPRESSO input):
```
&SYSTEM
  ibrav = 0, nat = 5, ntyp = 4
/
ATOMIC_SPECIES
K 39.10 K.upf
As 74.92 As.upf
Ti 47.87 Ti.upf
Se 78.96 Se.upf
CELL_PARAMETERS angstrom
4.9731 0.0000 0.0000
0.0000 4.9731 0.0000
0.0000 0.0000 5.1272
ATOMIC_POSITIONS angstrom
K 2.4865 2.4865 2.5636
As 2.4865 0.0000 0.0000
Ti 0.0000 0.0000 0.0000
Se 0.0000 0.0000 2.5636
As 0.0000 2.4865 0.0000
```

---

Structures ranked by computed energy, the most stable listed first: model B, model A.

---

Model A:
## KTiAsSe2 (PBE)

Data for an optimized crystal structure of KTiAsSe2. Values from VASP.

Calculated values
- SG = No. 123

Structure (Quantum ESPRESSO input):
```
&SYSTEM
  ibrav = 0, nat = 5, ntyp = 4
/
ATOMIC_SPECIES
Se 78.96 Se.upf
Ti 47.87 Ti.upf
As 74.92 As.upf
K 39.10 K.upf
CELL_PARAMETERS angstrom
-4.3873 -0.8744 2.4035
-1.6252 -2.7319 -3.9604
1.9356 -4.1073 2.0389
ATOMIC_POSITIONS angstrom
Se -0.8126 -1.3659 -1.9802
Ti 0.0000 0.0000 0.0000
As 0.9678 -2.0537 1.0195
Se -2.1936 -0.4372 1.2017
K -2.0384 -3.8568 0.2410
```

---

Model B:
## KTiAsSe2 (PBE)

Data for an optimized crystal structure of KTiAsSe2. Values from VASP.

Calculated values
- SG = No. 123

Structure (Quantum ESPRESSO input):
```
&SYSTEM
  ibrav = 0, nat = 5, ntyp = 4
/
ATOMIC_SPECIES
Se 78.96 Se.upf
As 74.92 As.upf
K 39.10 K.upf
Ti 47.87 Ti.upf
CELL_PARAMETERS angstrom
5.4215 0.0000 0.0000
0.0000 5.4215 0.0000
0.0000 0.0000 5.1728
ATOMIC_POSITIONS angstrom
Se 0.0000 2.7107 0.0000
As 0.0000 0.0000 2.5864
K 0.0000 0.0000 0.0000
Se 2.7107 0.0000 0.0000
Ti 2.7107 2.7107 2.5864
```

---

Structures ranked by computed energy, the most stable listed first: model A, model B.

---

Model A:
## KTlAsSe2 (PBE)

Data for an optimized crystal structure of KTlAsSe2. Values from VASP.

Calculated values
- SG = No. 123

Structure (Quantum ESPRESSO input):
```
&SYSTEM
  ibrav = 0, nat = 5, ntyp = 4
/
ATOMIC_SPECIES
Tl 204.38 Tl.upf
Se 78.96 Se.upf
As 74.92 As.upf
K 39.10 K.upf
CELL_PARAMETERS angstrom
-1.2029 -4.6695 -2.8464
0.5130 -2.9979 4.7013
-5.2686 0.7250 1.0372
ATOMIC_POSITIONS angstrom
Tl 0.0000 0.0000 0.0000
Se 0.2565 -1.4990 2.3507
As -2.6343 0.3625 0.5186
K -2.9792 -3.4712 1.4461
Se -0.6014 -2.3348 -1.4232
```

---

Model B:
## KTlAsSe2 (PBE)

Data for an optimized crystal structure of KTlAsSe2. Values from VASP.

Calculated values
- SG = No. 123

Structure (Quantum ESPRESSO input):
```
&SYSTEM
  ibrav = 0, nat = 5, ntyp = 4
/
ATOMIC_SPECIES
K 39.10 K.upf
Tl 204.38 Tl.upf
Se 78.96 Se.upf
As 74.92 As.upf
CELL_PARAMETERS angstrom
-1.6378 -5.2017 2.1875
1.8006 -2.6405 -4.9307
5.4075 -0.7119 2.3559
ATOMIC_POSITIONS angstrom
K 0.0000 0.0000 0.0000
Tl 2.7851 -4.2770 -0.1936
Se 0.9003 -1.3202 -2.4653
As 2.7038 -0.3559 1.1779
Se -0.8189 -2.6009 1.0938
```

---

Structures ranked by computed energy, the most stable listed first: model A, model B.

---

Model A:
## KVAs2Se (PBE)

Data for an optimized crystal structure of KVAs2Se. Values from VASP.

Calculated values
- SG = No. 123

Structure (Quantum ESPRESSO input):
```
&SYSTEM
  ibrav = 0, nat = 5, ntyp = 4
/
ATOMIC_SPECIES
As 74.92 As.upf
K 39.10 K.upf
Se 78.96 Se.upf
V 50.94 V.upf
CELL_PARAMETERS angstrom
-0.0989 -0.0905 4.8487
-0.2042 -4.8453 -0.0946
5.0047 -0.2128 0.0981
ATOMIC_POSITIONS angstrom
As -0.0494 -0.0453 2.4243
K 2.3508 -2.5743 2.4261
As -0.1021 -2.4227 -0.0473
Se 2.5024 -0.1064 0.0490
V 0.0000 0.0000 0.0000
```

---

Model B:
## KVAs2Se (PBE)

Data for an optimized crystal structure of KVAs2Se. Values from VASP.

Calculated values
- SG = No. 123

Structure (Quantum ESPRESSO input):
```
&SYSTEM
  ibrav = 0, nat = 5, ntyp = 4
/
ATOMIC_SPECIES
As 74.92 As.upf
V 50.94 V.upf
Se 78.96 Se.upf
K 39.10 K.upf
CELL_PARAMETERS angstrom
-0.1739 -2.1220 4.8109
-2.1795 -4.3515 -1.9981
4.9360 -2.1240 -0.7584
ATOMIC_POSITIONS angstrom
As -1.0897 -2.1758 -0.9991
V 1.2913 -4.2987 1.0272
As -0.0870 -1.0610 2.4055
Se 2.4680 -1.0620 -0.3792
K 0.0000 0.0000 0.0000
```

---

Structures ranked by computed energy, the most stable listed first: model A, model B.

---

Model A:
## KSiAs3 (PBE)

Data for an optimized crystal structure of KSiAs3. Values from VASP.

Calculated values
- SG = No. 221

Structure (Quantum ESPRESSO input):
```
&SYSTEM
  ibrav = 0, nat = 5, ntyp = 3
/
ATOMIC_SPECIES
As 74.92 As.upf
Si 28.09 Si.upf
K 39.10 K.upf
CELL_PARAMETERS angstrom
4.9670 0.0000 0.0000
0.0000 4.9670 0.0000
0.0000 0.0000 4.9670
ATOMIC_POSITIONS angstrom
As 2.4835 0.0000 0.0000
Si 0.0000 0.0000 0.0000
As 0.0000 0.0000 2.4835
As 0.0000 2.4835 0.0000
K 2.4835 2.4835 2.4835
```

---

Model B:
## KSiAs3 (PBE)

Data for an optimized crystal structure of KSiAs3. Values from VASP.

Calculated values
- SG = No. 221

Structure (Quantum ESPRESSO input):
```
&SYSTEM
  ibrav = 0, nat = 5, ntyp = 3
/
ATOMIC_SPECIES
As 74.92 As.upf
Si 28.09 Si.upf
K 39.10 K.upf
CELL_PARAMETERS angstrom
-1.5994 -2.3559 4.5177
4.8502 -2.1543 0.5936
1.5607 4.2809 2.7849
ATOMIC_POSITIONS angstrom
As 0.7803 2.1405 1.3925
As 2.4251 -1.0772 0.2968
As -0.7997 -1.1779 2.2588
Si 2.4057 -0.1147 3.9481
K 0.0000 0.0000 0.0000
```

---

Structures ranked by computed energy, the most stable listed first: model A, model B.

---

Model A:
## KSiAs4 (PBE)

Data for an optimized crystal structure of KSiAs4. Values from VASP.

Calculated values
- SG = No. 12

Structure (Quantum ESPRESSO input):
```
&SYSTEM
  ibrav = 0, nat = 12, ntyp = 3
/
ATOMIC_SPECIES
K 39.10 K.upf
As 74.92 As.upf
Si 28.09 Si.upf
CELL_PARAMETERS angstrom
7.6026 0.0000 1.5386
0.0000 8.3485 0.0000
-0.1258 -4.1742 5.8891
ATOMIC_POSITIONS angstrom
K 1.0967 0.0000 2.4201
As 0.0000 2.3368 0.0000
As 4.2979 5.4192 2.3589
K 6.3801 4.1742 5.0076
Si 6.1022 0.0000 6.8622
As 3.1789 -1.2449 5.0688
As 4.2979 2.9293 2.3589
As 2.1974 4.1742 2.7904
As 0.0000 6.0116 0.0000
As 3.1789 1.2449 5.0688
As 5.2794 0.0000 4.6373
Si 1.3746 4.1742 0.5655
```

---

Model B:
## KSiAs4 (PBE)

Data for an optimized crystal structure of KSiAs4. Values from VASP.

Calculated values
- SG = No. 216

Structure (Quantum ESPRESSO input):
```
&SYSTEM
  ibrav = 0, nat = 6, ntyp = 3
/
ATOMIC_SPECIES
Si 28.09 Si.upf
As 74.92 As.upf
K 39.10 K.upf
CELL_PARAMETERS angstrom
0.0000 4.0679 4.0679
4.0679 0.0000 4.0679
4.0679 4.0679 0.0000
ATOMIC_POSITIONS angstrom
Si 0.0000 0.0000 0.0000
As 2.9859 5.1499 5.1499
K 6.1019 6.1019 6.1019
As 5.1499 2.9859 5.1499
As 5.1499 5.1499 2.9859
As 2.9859 2.9859 2.9859
```

---

Structures ranked by computed energy, the most stable listed first: model A, model B.

---

Model A:
## K2SnAs (PBE)

Data for an optimized crystal structure of K2SnAs. Values from VASP.

Calculated values
- SG = No. 122

Structure (Quantum ESPRESSO input):
```
&SYSTEM
  ibrav = 0, nat = 8, ntyp = 3
/
ATOMIC_SPECIES
K 39.10 K.upf
Sn 118.71 Sn.upf
As 74.92 As.upf
CELL_PARAMETERS angstrom
12.5314 0.0000 0.0000
0.0000 12.5314 0.0000
6.2657 6.2657 2.6944
ATOMIC_POSITIONS angstrom
K 5.5712 9.3986 0.6736
Sn 0.0000 0.0000 0.0000
Sn 12.5314 6.2657 1.3472
As 6.2657 12.5314 1.3472
As 6.2657 6.2657 0.0000
K 15.6643 13.2259 2.0208
K 6.9602 3.1329 0.6736
K 9.3986 11.8369 2.0208
```

---

Model B:
## K2SnAs (PBE)

Data for an optimized crystal structure of K2SnAs. Values from VASP.

Calculated values
- SG = No. 225

Structure (Quantum ESPRESSO input):
```
&SYSTEM
  ibrav = 0, nat = 4, ntyp = 3
/
ATOMIC_SPECIES
K 39.10 K.upf
As 74.92 As.upf
Sn 118.71 Sn.upf
CELL_PARAMETERS angstrom
0.2403 -5.6304 0.6526
-4.5995 -3.1694 -0.9921
-0.1810 -3.3925 -4.5435
ATOMIC_POSITIONS angstrom
K -1.1351 -3.0481 -1.2208
K -3.4052 -9.1442 -3.6623
As 0.0000 0.0000 0.0000
Sn -2.2701 -6.0961 -2.4415
```

---

Structures ranked by computed energy, the most stable listed first: model A, model B.

---

Model A:
## KSr2As2 (PBE)

Data for an optimized crystal structure of KSr2As2. Values from VASP.

Calculated values
- SG = No. 139

Structure (Quantum ESPRESSO input):
```
&SYSTEM
  ibrav = 0, nat = 5, ntyp = 3
/
ATOMIC_SPECIES
Sr 87.62 Sr.upf
As 74.92 As.upf
K 39.10 K.upf
CELL_PARAMETERS angstrom
5.3783 0.0000 0.0000
0.0000 5.3783 0.0000
2.6892 2.6892 6.2376
ATOMIC_POSITIONS angstrom
Sr 5.3783 2.6892 3.1188
As 5.3783 5.3783 4.7649
As 2.6892 2.6892 1.4727
K 0.0000 0.0000 0.0000
Sr 2.6892 5.3783 3.1188
```

---

Model B:
## KSr2As2 (PBE)

Data for an optimized crystal structure of KSr2As2. Values from VASP.

Calculated values
- SG = No. 127

Structure (Quantum ESPRESSO input):
```
&SYSTEM
  ibrav = 0, nat = 10, ntyp = 3
/
ATOMIC_SPECIES
Sr 87.62 Sr.upf
As 74.92 As.upf
K 39.10 K.upf
CELL_PARAMETERS angstrom
-4.0092 -8.2066 -0.5853
2.4933 -1.8324 8.6134
-3.2109 1.4799 1.2443
ATOMIC_POSITIONS angstrom
Sr -4.1622 -7.0197 3.2534
As -1.7031 -8.0842 5.2201
Sr -1.9997 -6.0613 7.6938
Sr -2.7271 -2.4978 1.5785
As 0.7357 -4.3000 7.0127
K 0.0000 0.0000 0.0000
Sr -0.5646 -1.5394 6.0189
As 0.1872 -1.9547 2.8080
K -0.7579 -5.0195 4.0140
As -2.2516 -5.7389 1.0154
```

---

Structures ranked by computed energy, the most stable listed first: model B, model A.

---

Model A:
## K3TaAs (PBE)

Data for an optimized crystal structure of K3TaAs. Values from VASP.

Calculated values
- SG = No. 221

Structure (Quantum ESPRESSO input):
```
&SYSTEM
  ibrav = 0, nat = 5, ntyp = 3
/
ATOMIC_SPECIES
Ta 180.95 Ta.upf
As 74.92 As.upf
K 39.10 K.upf
CELL_PARAMETERS angstrom
-5.0651 1.6735 3.7086
3.0153 -2.4320 5.2156
2.7317 5.7874 1.1193
ATOMIC_POSITIONS angstrom
Ta 0.0000 0.0000 0.0000
As 0.3410 2.5145 5.0218
K 1.5076 -1.2160 2.6078
K -2.5325 0.8368 1.8543
K 1.3659 2.8937 0.5596
```

---

Model B:
## K3TaAs (PBE)

Data for an optimized crystal structure of K3TaAs. Values from VASP.

Calculated values
- SG = No. 221

Structure (Quantum ESPRESSO input):
```
&SYSTEM
  ibrav = 0, nat = 5, ntyp = 3
/
ATOMIC_SPECIES
K 39.10 K.upf
Ta 180.95 Ta.upf
As 74.92 As.upf
CELL_PARAMETERS angstrom
6.3061 0.0000 0.0000
0.0000 6.3061 0.0000
0.0000 0.0000 6.3061
ATOMIC_POSITIONS angstrom
K 3.1531 0.0000 0.0000
K 0.0000 0.0000 3.1531
K 0.0000 3.1531 0.0000
Ta 3.1531 3.1531 3.1531
As 0.0000 0.0000 0.0000
```

---

Structures ranked by computed energy, the most stable listed first: model B, model A.

---

Model A:
## KTa3As (PBE)

Data for an optimized crystal structure of KTa3As. Values from VASP.

Calculated values
- SG = No. 221

Structure (Quantum ESPRESSO input):
```
&SYSTEM
  ibrav = 0, nat = 5, ntyp = 3
/
ATOMIC_SPECIES
Ta 180.95 Ta.upf
As 74.92 As.upf
K 39.10 K.upf
CELL_PARAMETERS angstrom
-1.1545 -2.7848 3.5714
-0.0129 -3.6836 -2.8765
4.5287 -0.7204 0.9023
ATOMIC_POSITIONS angstrom
Ta -0.5773 -1.3924 1.7857
Ta -0.0064 -1.8418 -1.4382
As 1.6807 -3.5944 0.7986
Ta 2.2644 -0.3602 0.4511
K 0.0000 0.0000 0.0000
```

---

Model B:
## KTa3As (PBE)

Data for an optimized crystal structure of KTa3As. Values from VASP.

Calculated values
- SG = No. 221

Structure (Quantum ESPRESSO input):
```
&SYSTEM
  ibrav = 0, nat = 5, ntyp = 3
/
ATOMIC_SPECIES
K 39.10 K.upf
Ta 180.95 Ta.upf
As 74.92 As.upf
CELL_PARAMETERS angstrom
-4.0221 0.9031 -2.6882
2.5656 -0.8286 -4.1171
-1.2082 -4.7663 0.2064
ATOMIC_POSITIONS angstrom
K -1.3323 -2.3459 -3.2995
Ta 1.2828 -0.4143 -2.0585
Ta -0.6041 -2.3831 0.1032
As 0.0000 0.0000 0.0000
Ta -2.0110 0.4516 -1.3441
```

---

Structures ranked by computed energy, the most stable listed first: model B, model A.